1.
# Ag2HPdSe | Alexandria | GGA-PBE | optimized geometry
# Calculated volume = 75.3 Å³ per cell
# E_tot = -3.501 eV/atom
data_Ag2HPdSe
_chemical_formula_sum 'Ag2 H1 Pd1 Se1'
_symmetry_space_group_name_H-M 'P 4/m m m'
_symmetry_Int_Tables_number 123
_symmetry_space_group_name_Hall '-P 4 2'
_cell_length_a 4.485
_cell_length_b 4.485
_cell_length_c 3.744
_cell_angle_alpha 90.00
_cell_angle_beta 90.00
_cell_angle_gamma 90.00
loop_
_atom_site_label
_atom_site_type_symbol
_atom_site_fract_x
_atom_site_fract_y
_atom_site_fract_z
Ag1 Ag 0.000 0.500 0.000
H1 H 0.000 0.000 0.000
Pd1 Pd 0.000 0.000 0.500
Se1 Se 0.500 0.500 0.500

=====

2.
# AgHPd2Se | Alexandria | GGA-PBE | optimized geometry
# Calculated volume = 71.8 Å³ per cell
# Polymorph energy (0 for the lowest one) = 0.118 eV/atom
# E_tot = -3.875 eV/atom
data_AgHPd2Se
_chemical_formula_sum 'Ag1 H1 Pd2 Se1'
_symmetry_space_group_name_H-M 'P 4/m m m'
_symmetry_Int_Tables_number 123
_symmetry_space_group_name_Hall '-P 4 2'
_cell_length_a 3.999
_cell_length_b 3.999
_cell_length_c 4.491
_cell_angle_alpha 90.00
_cell_angle_beta 90.00
_cell_angle_gamma 90.00
loop_
_atom_site_label
_atom_site_type_symbol
_atom_site_fract_x
_atom_site_fract_y
_atom_site_fract_z
Ag1 Ag 0.000 0.000 0.000
H1 H 0.500 0.500 0.500
Pd1 Pd 0.000 0.500 0.500
Se1 Se 0.500 0.500 0.000

=====

3.
# AgHPd2Se | Alexandria | GGA-PBE | optimized geometry
# Calculated volume = 70.6 Å³ per cell
# Polymorph energy (0 for the lowest one) = 0.000 eV/atom
# E_tot = -3.993 eV/atom
data_AgHPd2Se
_chemical_formula_sum 'Ag1 H1 Pd2 Se1'
_symmetry_space_group_name_H-M 'P 4/m m m'
_symmetry_Int_Tables_number 123
_symmetry_space_group_name_Hall '-P 4 2'
_cell_length_a 4.149
_cell_length_b 4.149
_cell_length_c 4.098
_cell_angle_alpha 90.00
_cell_angle_beta 90.00
_cell_angle_gamma 90.00
loop_
_atom_site_label
_atom_site_type_symbol
_atom_site_fract_x
_atom_site_fract_y
_atom_site_fract_z
Ag1 Ag 0.000 0.000 0.000
H1 H 0.000 0.000 0.500
Pd1 Pd 0.000 0.500 0.500
Se1 Se 0.500 0.500 0.000

=====

4.
# AgSn2HPd | Alexandria | GGA-PBE | optimized geometry
# Calculated volume = 97.5 Å³ per cell
# E_tot = -3.839 eV/atom
data_AgSn2HPd
_chemical_formula_sum 'Ag1 Sn2 H1 Pd1'
_symmetry_space_group_name_H-M 'P 4/m m m'
_symmetry_Int_Tables_number 123
_symmetry_space_group_name_Hall '-P 4 2'
_cell_length_a 5.423
_cell_length_b 5.423
_cell_length_c 3.317
_cell_angle_alpha 90.00
_cell_angle_beta 90.00
_cell_angle_gamma 90.00
loop_
_atom_site_label
_atom_site_type_symbol
_atom_site_fract_x
_atom_site_fract_y
_atom_site_fract_z
Ag1 Ag 0.000 0.000 0.000
Sn1 Sn 0.000 0.500 0.500
H1 H 0.500 0.500 0.000
Pd1 Pd 0.500 0.500 0.500

=====

5.
# Ag2SnHPd | Alexandria | GGA-PBE | optimized geometry
# Calculated volume = 77.1 Å³ per cell
# E_tot = -3.649 eV/atom
data_Ag2SnHPd
_chemical_formula_sum 'Ag2 Sn1 H1 Pd1'
_symmetry_space_group_name_H-M 'P 4/m m m'
_symmetry_Int_Tables_number 123
_symmetry_space_group_name_Hall '-P 4 2'
_cell_length_a 4.490
_cell_length_b 4.490
_cell_length_c 3.827
_cell_angle_alpha 90.00
_cell_angle_beta 90.00
_cell_angle_gamma 90.00
loop_
_atom_site_label
_atom_site_type_symbol
_atom_site_fract_x
_atom_site_fract_y
_atom_site_fract_z
Ag1 Ag 0.000 0.500 0.000
Sn1 Sn 0.000 0.000 0.500
H1 H 0.500 0.500 0.000
Pd1 Pd 0.500 0.500 0.500

=====

6.
# SrAgH2Pd | Alexandria | GGA-PBE | optimized geometry
# Calculated volume = 95.3 Å³ per cell
# E_tot = -2.958 eV/atom
data_SrAgH2Pd
_chemical_formula_sum 'Sr1 Ag1 H2 Pd1'
_symmetry_space_group_name_H-M 'P 4/m m m'
_symmetry_Int_Tables_number 123
_symmetry_space_group_name_Hall '-P 4 2'
_cell_length_a 4.071
_cell_length_b 4.071
_cell_length_c 5.752
_cell_angle_alpha 90.00
_cell_angle_beta 90.00
_cell_angle_gamma 90.00
loop_
_atom_site_label
_atom_site_type_symbol
_atom_site_fract_x
_atom_site_fract_y
_atom_site_fract_z
Sr1 Sr 0.000 0.000 0.000
Ag1 Ag 0.500 0.500 0.000
H1 H 0.000 0.500 0.500
Pd1 Pd 0.000 0.000 0.500

=====

7.
# SrAgHPd2 | Alexandria | GGA-PBE | optimized geometry
# Calculated volume = 82.6 Å³ per cell
# Polymorph energy (0 for the lowest one) = 0.000 eV/atom
# E_tot = -3.908 eV/atom
data_SrAgHPd2
_chemical_formula_sum 'Sr1 Ag1 H1 Pd2'
_symmetry_space_group_name_H-M 'P 4/m m m'
_symmetry_Int_Tables_number 123
_symmetry_space_group_name_Hall '-P 4 2'
_cell_length_a 4.223
_cell_length_b 4.223
_cell_length_c 4.629
_cell_angle_alpha 90.00
_cell_angle_beta 90.00
_cell_angle_gamma 90.00
loop_
_atom_site_label
_atom_site_type_symbol
_atom_site_fract_x
_atom_site_fract_y
_atom_site_fract_z
Sr1 Sr 0.000 0.000 0.000
Ag1 Ag 0.500 0.500 0.000
H1 H 0.000 0.000 0.500
Pd1 Pd 0.000 0.500 0.500

=====

8.
# SrAgHPd2 | Alexandria | GGA-PBE | optimized geometry
# Calculated volume = 82.1 Å³ per cell
# Polymorph energy (0 for the lowest one) = 0.037 eV/atom
# E_tot = -3.871 eV/atom
data_SrAgHPd2
_chemical_formula_sum 'Sr1 Ag1 H1 Pd2'
_symmetry_space_group_name_H-M 'P 4/m m m'
_symmetry_Int_Tables_number 123
_symmetry_space_group_name_Hall '-P 4 2'
_cell_length_a 4.344
_cell_length_b 4.344
_cell_length_c 4.352
_cell_angle_alpha 90.00
_cell_angle_beta 90.00
_cell_angle_gamma 90.00
loop_
_atom_site_label
_atom_site_type_symbol
_atom_site_fract_x
_atom_site_fract_y
_atom_site_fract_z
Sr1 Sr 0.000 0.000 0.000
Ag1 Ag 0.500 0.500 0.000
H1 H 0.500 0.500 0.500
Pd1 Pd 0.000 0.500 0.500

=====

9.
# AgTeHPd2 | Alexandria | GGA-PBE | optimized geometry
# Calculated volume = 75.5 Å³ per cell
# E_tot = -3.999 eV/atom
data_AgTeHPd2
_chemical_formula_sum 'Ag1 Te1 H1 Pd2'
_symmetry_space_group_name_H-M 'P 4/m m m'
_symmetry_Int_Tables_number 123
_symmetry_space_group_name_Hall '-P 4 2'
_cell_length_a 4.292
_cell_length_b 4.292
_cell_length_c 4.100
_cell_angle_alpha 90.00
_cell_angle_beta 90.00
_cell_angle_gamma 90.00
loop_
_atom_site_label
_atom_site_type_symbol
_atom_site_fract_x
_atom_site_fract_y
_atom_site_fract_z
Ag1 Ag 0.000 0.000 0.000
Te1 Te 0.500 0.500 0.000
H1 H 0.000 0.000 0.500
Pd1 Pd 0.000 0.500 0.500

=====

10.
# TiAgHPd2 | Alexandria | GGA-PBE | optimized geometry
# Calculated volume = 66.6 Å³ per cell
# E_tot = -5.087 eV/atom
data_TiAgHPd2
_chemical_formula_sum 'Ti1 Ag1 H1 Pd2'
_symmetry_space_group_name_H-M 'P 4/m m m'
_symmetry_Int_Tables_number 123
_symmetry_space_group_name_Hall '-P 4 2'
_cell_length_a 4.075
_cell_length_b 4.075
_cell_length_c 4.011
_cell_angle_alpha 90.00
_cell_angle_beta 90.00
_cell_angle_gamma 90.00
loop_
_atom_site_label
_atom_site_type_symbol
_atom_site_fract_x
_atom_site_fract_y
_atom_site_fract_z
Ti1 Ti 0.000 0.000 0.000
Ag1 Ag 0.500 0.500 0.000
H1 H 0.000 0.000 0.500
Pd1 Pd 0.000 0.500 0.500

=====

11.
# Ti2AgHPd | Alexandria | GGA-PBE | optimized geometry
# Calculated volume = 67.1 Å³ per cell
# Polymorph energy (0 for the lowest one) = 0.000 eV/atom
# E_tot = -5.666 eV/atom
data_Ti2AgHPd
_chemical_formula_sum 'Ti2 Ag1 H1 Pd1'
_symmetry_space_group_name_H-M 'P 4/m m m'
_symmetry_Int_Tables_number 123
_symmetry_space_group_name_Hall '-P 4 2'
_cell_length_a 4.032
_cell_length_b 4.032
_cell_length_c 4.129
_cell_angle_alpha 90.00
_cell_angle_beta 90.00
_cell_angle_gamma 90.00
loop_
_atom_site_label
_atom_site_type_symbol
_atom_site_fract_x
_atom_site_fract_y
_atom_site_fract_z
Ti1 Ti 0.000 0.500 0.000
Ag1 Ag 0.000 0.000 0.500
H1 H 0.500 0.500 0.000
Pd1 Pd 0.500 0.500 0.500

=====

12.
# Ti2AgHPd | Alexandria | GGA-PBE | optimized geometry
# Calculated volume = 67.2 Å³ per cell
# Polymorph energy (0 for the lowest one) = 0.013 eV/atom
# E_tot = -5.653 eV/atom
data_Ti2AgHPd
_chemical_formula_sum 'Ti2 Ag1 H1 Pd1'
_symmetry_space_group_name_H-M 'P 4/m m m'
_symmetry_Int_Tables_number 123
_symmetry_space_group_name_Hall '-P 4 2'
_cell_length_a 3.993
_cell_length_b 3.993
_cell_length_c 4.212
_cell_angle_alpha 90.00
_cell_angle_beta 90.00
_cell_angle_gamma 90.00
loop_
_atom_site_label
_atom_site_type_symbol
_atom_site_fract_x
_atom_site_fract_y
_atom_site_fract_z
Ti1 Ti 0.000 0.500 0.000
Ag1 Ag 0.000 0.000 0.500
H1 H 0.000 0.000 0.000
Pd1 Pd 0.500 0.500 0.500

=====

13.
# TiAgH2Pd | Alexandria | GGA-PBE | optimized geometry
# Calculated volume = 70.9 Å³ per cell
# E_tot = -4.135 eV/atom
data_TiAgH2Pd
_chemical_formula_sum 'Ti1 Ag1 H2 Pd1'
_symmetry_space_group_name_H-M 'P 4/m m m'
_symmetry_Int_Tables_number 123
_symmetry_space_group_name_Hall '-P 4 2'
_cell_length_a 3.677
_cell_length_b 3.677
_cell_length_c 5.241
_cell_angle_alpha 90.00
_cell_angle_beta 90.00
_cell_angle_gamma 90.00
loop_
_atom_site_label
_atom_site_type_symbol
_atom_site_fract_x
_atom_site_fract_y
_atom_site_fract_z
Ti1 Ti 0.000 0.000 0.000
Ag1 Ag 0.000 0.000 0.500
H1 H 0.000 0.500 0.000
Pd1 Pd 0.500 0.500 0.500

=====

14.
# Tl3AgH2Pd9 | Alexandria | GGA-PBE | optimized geometry
# Calculated volume = 255.9 Å³ per cell
# E_tot = -4.317 eV/atom
data_Tl3AgH2Pd9
_chemical_formula_sum 'Tl3 Ag1 H2 Pd9'
_symmetry_space_group_name_H-M 'P -3 m 1'
_symmetry_Int_Tables_number 164
_symmetry_space_group_name_Hall '-P 3 2"'
_cell_length_a 5.7369
_cell_length_b 5.7369
_cell_length_c 8.9779
_cell_angle_alpha 90.00
_cell_angle_beta 90.00
_cell_angle_gamma 120.00
loop_
_atom_site_label
_atom_site_type_symbol
_atom_site_fract_x
_atom_site_fract_y
_atom_site_fract_z
Tl1 Tl 0.0000 0.0000 0.0000
Tl2 Tl 0.3333 0.6667 0.6959
Ag1 Ag 0.0000 0.0000 0.5000
H1 H 0.3333 0.6667 0.1321
Pd1 Pd 0.0000 0.5000 0.0000
Pd2 Pd 0.1679 0.3359 0.2595

=====

15.
# Tl2AgHPd | Alexandria | GGA-PBE | optimized geometry
# Calculated volume = 104.6 Å³ per cell
# Polymorph energy (0 for the lowest one) = 0.029 eV/atom
# E_tot = -3.113 eV/atom
data_Tl2AgHPd
_chemical_formula_sum 'Tl2 Ag1 H1 Pd1'
_symmetry_space_group_name_H-M 'P 4/m m m'
_symmetry_Int_Tables_number 123
_symmetry_space_group_name_Hall '-P 4 2'
_cell_length_a 5.573
_cell_length_b 5.573
_cell_length_c 3.367
_cell_angle_alpha 90.00
_cell_angle_beta 90.00
_cell_angle_gamma 90.00
loop_
_atom_site_label
_atom_site_type_symbol
_atom_site_fract_x
_atom_site_fract_y
_atom_site_fract_z
Tl1 Tl 0.000 0.500 0.000
Ag1 Ag 0.000 0.000 0.500
H1 H 0.500 0.500 0.500
Pd1 Pd 0.500 0.500 0.000

=====

16.
# Tl2AgHPd | Alexandria | GGA-PBE | optimized geometry
# Calculated volume = 95.5 Å³ per cell
# Polymorph energy (0 for the lowest one) = 0.000 eV/atom
# E_tot = -3.142 eV/atom
data_Tl2AgHPd
_chemical_formula_sum 'Tl2 Ag1 H1 Pd1'
_symmetry_space_group_name_H-M 'P 4/m m m'
_symmetry_Int_Tables_number 123
_symmetry_space_group_name_Hall '-P 4 2'
_cell_length_a 5.303
_cell_length_b 5.303
_cell_length_c 3.396
_cell_angle_alpha 90.00
_cell_angle_beta 90.00
_cell_angle_gamma 90.00
loop_
_atom_site_label
_atom_site_type_symbol
_atom_site_fract_x
_atom_site_fract_y
_atom_site_fract_z
Tl1 Tl 0.000 0.500 0.000
Ag1 Ag 0.000 0.000 0.500
H1 H 0.500 0.500 0.000
Pd1 Pd 0.500 0.500 0.500

=====

17.
# VAgHPd2 | Alexandria | GGA-PBE | optimized geometry
# Calculated volume = 65.7 Å³ per cell
# Polymorph energy (0 for the lowest one) = 0.000 eV/atom
# E_tot = -5.137 eV/atom
data_VAgHPd2
_chemical_formula_sum 'V1 Ag1 H1 Pd2'
_symmetry_space_group_name_H-M 'P 4/m m m'
_symmetry_Int_Tables_number 123
_symmetry_space_group_name_Hall '-P 4 2'
_cell_length_a 4.028
_cell_length_b 4.028
_cell_length_c 4.050
_cell_angle_alpha 90.00
_cell_angle_beta 90.00
_cell_angle_gamma 90.00
loop_
_atom_site_label
_atom_site_type_symbol
_atom_site_fract_x
_atom_site_fract_y
_atom_site_fract_z
V1 V 0.000 0.000 0.000
Ag1 Ag 0.500 0.500 0.000
H1 H 0.000 0.000 0.500
Pd1 Pd 0.000 0.500 0.500

=====

18.
# VAgHPd2 | Alexandria | GGA-PBE | optimized geometry
# Calculated volume = 108.7 Å³ per cell
# Polymorph energy (0 for the lowest one) = 1.366 eV/atom
# E_tot = -3.770 eV/atom
data_VAgHPd2
_chemical_formula_sum 'V1 Ag1 H1 Pd2'
_symmetry_space_group_name_H-M 'P 4/m m m'
_symmetry_Int_Tables_number 123
_symmetry_space_group_name_Hall '-P 4 2'
_cell_length_a 4.604
_cell_length_b 4.604
_cell_length_c 5.128
_cell_angle_alpha 90.00
_cell_angle_beta 90.00
_cell_angle_gamma 90.00
loop_
_atom_site_label
_atom_site_type_symbol
_atom_site_fract_x
_atom_site_fract_y
_atom_site_fract_z
V1 V 0.000 0.000 0.000
Ag1 Ag 0.000 0.000 0.500
H1 H 0.500 0.500 0.500
Pd1 Pd 0.000 0.500 0.000

=====

19.
# YAgHPd2 | Alexandria | GGA-PBE | optimized geometry
# Calculated volume = 77.1 Å³ per cell
# Polymorph energy (0 for the lowest one) = 0.000 eV/atom
# E_tot = -5.043 eV/atom
data_YAgHPd2
_chemical_formula_sum 'Y1 Ag1 H1 Pd2'
_symmetry_space_group_name_H-M 'P 4/m m m'
_symmetry_Int_Tables_number 123
_symmetry_space_group_name_Hall '-P 4 2'
_cell_length_a 4.180
_cell_length_b 4.180
_cell_length_c 4.415
_cell_angle_alpha 90.00
_cell_angle_beta 90.00
_cell_angle_gamma 90.00
loop_
_atom_site_label
_atom_site_type_symbol
_atom_site_fract_x
_atom_site_fract_y
_atom_site_fract_z
Y1 Y 0.000 0.000 0.000
Ag1 Ag 0.500 0.500 0.000
H1 H 0.000 0.000 0.500
Pd1 Pd 0.000 0.500 0.500

=====

20.
# YAgHPd2 | Alexandria | GGA-PBE | optimized geometry
# Calculated volume = 77.7 Å³ per cell
# Polymorph energy (0 for the lowest one) = 0.092 eV/atom
# E_tot = -4.952 eV/atom
data_YAgHPd2
_chemical_formula_sum 'Y1 Ag1 H1 Pd2'
_symmetry_space_group_name_H-M 'P 4/m m m'
_symmetry_Int_Tables_number 123
_symmetry_space_group_name_Hall '-P 4 2'
_cell_length_a 4.320
_cell_length_b 4.320
_cell_length_c 4.161
_cell_angle_alpha 90.00
_cell_angle_beta 90.00
_cell_angle_gamma 90.00
loop_
_atom_site_label
_atom_site_type_symbol
_atom_site_fract_x
_atom_site_fract_y
_atom_site_fract_z
Y1 Y 0.000 0.000 0.000
Ag1 Ag 0.500 0.500 0.000
H1 H 0.500 0.500 0.500
Pd1 Pd 0.000 0.500 0.500